Version A
Compound: La6PmPr12
Source: Alexandria
Functional: PBE-GGA
Structure: relaxed

```
La6PmPr12
1.0
-3.7432 -1.6889 -8.1625
-7.1605 -0.2681 6.7487
-6.7395 6.9553 -1.7580
La Pm Pr
6 1 12
Cartesian
-6.3910 0.6215 -0.6007
-8.6440 3.3778 3.2586
-11.6542 3.9277 1.1157
-11.2522 4.3768 -2.5711
-8.9992 1.6206 -6.4304
-5.9890 1.0706 -4.2875
0.0000 0.0000 0.0000
-9.7775 0.7112 0.9151
-14.6499 4.4607 -1.0358
-10.8722 4.8188 -6.2518
-7.8657 4.2871 -4.0869
-2.9933 0.5376 -2.1360
-6.7709 0.1795 3.0800
-8.2418 3.8398 -0.4233
-3.3757 0.0776 1.5308
-4.8673 3.7616 -1.9569
-9.4014 1.1585 -2.7485
-14.2675 4.9207 -4.7026
-12.7759 1.2368 -1.2149
```

Version B
Compound: La6PmPr12
Source: Alexandria
Functional: PBE-GGA
Structure: relaxed

```
La6PmPr12
1.0
-8.4862 -2.5889 -3.7958
7.1605 -3.6042 -5.3724
0.6832 -3.4341 8.9926
La Pm Pr
6 1 12
Cartesian
1.1458 -5.6619 3.6589
-1.7883 -3.9652 -3.8346
2.1277 -5.6005 -3.2962
-2.7701 -4.0266 3.1205
-4.3731 -5.2148 -0.6634
3.7307 -4.4124 0.4877
0.0000 0.0000 0.0000
-1.2445 -3.6160 5.8872
1.2412 -3.0255 -1.6428
-1.8836 -6.6017 1.4671
0.6021 -6.0112 -6.0628
5.4077 -3.9128 -2.1747
-2.2884 -2.8107 -0.5063
1.6459 -6.8165 0.3307
-6.0502 -5.7144 1.9990
-4.8788 -3.1948 -3.9082
0.4549 -3.0392 1.9872
-1.0973 -6.5879 -2.1629
4.2364 -6.4324 3.7325
```

What should be chosen as the most stable of them? Choose version A.

Version A
Compound: La12PmPr6
Source: Alexandria
Functional: PBE-GGA
Structure: relaxed

```
La12PmPr6
1.0
-4.1094 5.8112 -5.7183
-5.6310 -0.8569 8.0350
-0.9060 8.6635 4.5962
La Pm Pr
12 1 6
Cartesian
-7.1550 4.6099 4.9619
-8.6156 10.5167 7.1551
-5.5271 12.1161 1.7019
-3.4914 9.0080 1.9510
-2.0309 3.1012 -0.2422
-5.1193 1.5018 5.2109
-4.0247 6.6585 4.7739
-2.5380 0.7428 2.6049
-1.4647 5.8845 2.1997
-6.6217 6.9594 2.1390
-8.1084 12.8751 4.3080
-9.1817 7.7334 4.7131
0.0000 0.0000 0.0000
-4.5793 3.8650 2.3668
-4.5450 4.2883 7.6170
-6.5774 7.3920 7.3726
-6.0672 9.7529 4.5460
-6.1014 9.3296 -0.7041
-4.0691 6.2259 -0.4597
```

Version B
Compound: La12PmPr6
Source: Alexandria
Functional: PBE-GGA
Structure: relaxed

```
La12PmPr6
1.0
8.8260 0.6904 0.8271
-0.6556 8.8286 0.8271
-0.6556 -0.7639 8.8343
La Pm Pr
12 1 6
Cartesian
6.2681 4.9301 4.9035
2.9478 6.7935 5.7270
3.9228 3.5839 7.7076
1.2466 3.8251 5.5849
4.5669 1.9616 4.7615
3.5919 5.1712 2.7809
-0.1971 1.4271 3.3655
6.0742 5.4476 9.8658
4.4638 8.4866 8.4830
7.7118 7.3281 7.1229
1.4405 3.3075 0.6226
3.0509 0.2686 2.0055
0.0000 0.0000 0.0000
5.7233 8.2512 3.9991
5.9505 2.7250 1.6555
0.2266 6.0548 2.9769
1.7914 0.5040 6.4893
1.5642 6.0302 8.8330
7.2882 2.7003 7.5115
```

What should be chosen as the most stable of them? Choose version A.

Version A
Compound: La7Pm2Pr
Source: Alexandria
Functional: PBE-GGA
Structure: relaxed

```
La7Pm2Pr
1.0
5.6857 0.0000 0.0000
0.0000 9.2909 -0.3851
0.0000 -4.5353 8.1179
La Pm Pr
7 2 1
Cartesian
0.0000 5.9291 1.6824
0.0000 -1.1735 6.0505
2.8429 -0.7034 2.4231
2.8429 5.4590 5.3098
2.8429 2.4798 0.4655
2.8429 2.2759 7.2674
2.8429 2.3778 3.8664
2.8429 5.1452 2.1645
2.8429 -0.3896 5.5684
0.0000 0.0000 0.0000
```

Version B
Compound: La7Pm2Pr
Source: Alexandria
Functional: PBE-GGA
Structure: relaxed

```
La7Pm2Pr
1.0
5.7937 -0.4509 -0.8801
-0.0294 7.9572 -4.0384
-1.6794 -0.6377 8.7692
La Pm Pr
7 2 1
Cartesian
0.2789 5.0412 -0.6150
3.8059 1.8273 4.4658
0.8160 4.5449 3.1292
3.2688 2.3237 0.7216
3.1327 7.1424 -2.3926
0.9522 -0.2738 6.2434
2.8821 3.7531 -2.4592
3.5159 5.7533 0.6515
0.5689 1.1153 3.1993
0.0000 0.0000 0.0000
```

What should be chosen as the most stable of them? Choose version B.

Version A
Compound: La5Pm2Pr
Source: Alexandria
Functional: PBE-GGA
Structure: relaxed

```
La5Pm2Pr
1.0
6.1577 0.0000 2.2766
2.7252 11.8943 2.0949
-1.9985 -2.7726 14.8716
La Pm Pr
20 8 4
Cartesian
0.9198 -0.4427 2.8825
1.0628 -0.2692 8.1633
4.0454 0.3878 11.6766
2.2477 1.4619 5.5055
5.6518 3.0990 5.7640
0.1278 -0.7150 15.3824
2.3106 2.5032 9.4784
2.9370 5.0035 6.8923
0.4036 4.2916 16.2685
2.8753 1.4004 14.8414
4.0091 7.7213 4.4016
6.4808 4.8301 2.9746
3.9474 4.1181 12.3508
4.5738 6.6184 9.7646
6.7566 9.8367 3.8606
1.2326 6.0227 13.4791
4.6367 7.6598 13.7375
2.8390 8.7339 7.5664
5.8216 9.3909 11.0798
5.9647 9.5644 16.3605
0.5181 -0.8760 11.8431
4.8050 1.1997 2.8458
5.8640 3.3611 9.4475
6.5797 6.4575 6.8226
0.3047 2.6642 12.4204
1.0204 5.7605 9.7955
2.0794 7.9220 16.3972
6.3663 9.9977 7.3999
4.8206 0.3163 7.8804
2.9932 4.2446 3.3574
3.8913 4.8771 15.8857
2.0638 8.8054 11.3626
```

Version B
Compound: La5Pm2Pr
Source: Alexandria
Functional: PBE-GGA
Structure: relaxed

```
La5Pm2Pr
1.0
5.9000 0.0000 0.0000
-2.9500 8.5757 0.0000
0.0000 0.0000 11.7501
La Pm Pr
10 4 2
Cartesian
2.9500 7.7907 10.4024
2.9500 7.7907 7.2228
0.0000 7.0978 4.8487
0.0000 7.0978 1.0263
2.9500 1.8707 2.9375
0.0000 6.7050 8.8126
2.9500 1.4779 6.9014
2.9500 1.4779 10.7238
0.0000 0.7850 1.3478
0.0000 0.7850 4.5273
2.9500 4.9110 4.8917
2.9500 4.9110 0.9834
0.0000 3.6648 6.8584
0.0000 3.6648 10.7668
2.9500 4.6437 8.8126
0.0000 3.9320 2.9375
```

What should be chosen as the most stable of them? Choose version A.

Version A
Compound: La4Pm2Pr5
Source: Alexandria
Functional: PBE-GGA
Structure: relaxed

```
La4Pm2Pr5
1.0
-3.4624 -0.3173 1.0573
-3.5310 0.0905 -11.5360
2.6784 -8.9184 -0.1511
La Pm Pr
4 2 5
Cartesian
-0.0344 -6.4937 -2.0617
-3.4561 -8.4838 -7.6187
-4.2806 -2.6515 -8.5680
-0.8588 -0.6615 -3.0110
-2.5942 -4.0518 -3.4660
-1.7208 -5.0934 -7.1637
-2.5881 -7.4526 -4.4667
-1.7269 -1.6927 -6.1630
-4.3934 -5.9166 -9.9176
-1.7312 -0.1587 0.5287
0.0785 -3.2286 -0.7121
```

Version B
Compound: La4Pm2Pr5
Source: Alexandria
Functional: PBE-GGA
Structure: relaxed

```
La4Pm2Pr5
1.0
-2.1941 0.1840 -2.8520
-6.8199 -4.4113 4.9620
0.4362 12.6981 2.7597
La Pm Pr
4 2 5
Cartesian
-6.3812 2.7595 2.8113
-2.0392 -1.3190 1.4837
-2.1966 5.7113 2.0584
-4.7807 -3.0923 3.4783
-5.2912 -0.0746 1.7899
-3.2866 8.5454 3.0798
-2.5146 2.2153 2.0775
-6.0632 6.2555 2.7922
-6.6718 -0.4736 5.1022
-1.0971 0.0920 -1.4260
-1.9061 8.9444 -0.2324
```

What should be chosen as the most stable of them? Choose version A.

Version A
Compound: LaPm2Pr7
Source: Alexandria
Functional: PBE-GGA
Structure: relaxed

```
LaPm2Pr7
1.0
5.7237 0.0000 0.0000
0.0000 9.4184 -0.5008
0.0000 -4.6961 8.1796
La Pm Pr
1 2 7
Cartesian
0.0000 0.0000 0.0000
2.8619 5.2164 2.0835
2.8619 -0.4940 5.5953
0.0000 6.1671 1.4987
0.0000 -1.4448 6.1801
2.8619 -0.7816 2.3940
2.8619 5.5040 5.2848
2.8619 2.4892 0.3825
2.8619 2.2332 7.2963
2.8619 2.3612 3.8394
```

Version B
Compound: LaPm2Pr7
Source: Alexandria
Functional: PBE-GGA
Structure: relaxed

```
LaPm2Pr7
1.0
5.6024 -0.4575 -0.9114
0.0002 7.1490 -3.5900
-1.3362 0.2782 9.4676
La Pm Pr
1 2 7
Cartesian
0.0000 0.0000 0.0000
3.6424 5.4283 1.8957
0.6240 1.5414 3.0706
0.4461 4.6771 0.4010
3.8203 2.2926 4.5652
1.0828 4.8320 4.2624
3.1836 2.1377 0.7038
3.1841 6.4368 -1.4555
1.0822 0.5329 6.4217
2.8013 3.3458 -2.2507
```

What should be chosen as the most stable of them? Choose version B.